Record 1
The following is a GGA-PBEsol calculation of an optimized crystal structure of AgPPt, from Alexandria via LeMat-Bulk.

energy of formation from the pure elements: -23 kJ/mol of formula units
polymorph energy (0 for the lowest one): 2 meV/atom

Cell: 3.9734 3.9734 3.5881 Å, 90.00 90.00 120.00°
Last column: nearest neighbours and their distance in Å.
Sites, in units of the cell vectors:
1 Ag 0.0000 0.0000 0.0000  6 Pt 2.91, 6 P 2.91
2 P 0.6667 0.3333 0.5000  3 Pt 2.29
3 Pt 0.3333 0.6667 0.5000  3 P 2.29

=====

Record 2
The following is a GGA-PBEsol calculation of an optimized crystal structure of Li3Co, from Alexandria via LeMat-Bulk.

energy of formation from the pure elements: 75 kJ/mol of formula units

Cell: 2.8840 4.0709 9.2061 Å, 90.00 90.00 90.00°
Last column: nearest neighbours and their distance in Å.
Sites, in units of the cell vectors:
1 Li 0.0000 0.0000 0.0000  4 Li 2.49
2 Li 0.0000 0.5000 0.2792  2 Co 2.49, 4 Li 2.49
3 Li 0.0000 0.5000 0.7208  2 Co 2.49, 4 Li 2.49
4 Li 0.5000 0.0000 0.2792  2 Co 2.49, 4 Li 2.49
5 Li 0.5000 0.0000 0.7208  2 Co 2.49, 4 Li 2.49
6 Li 0.5000 0.5000 0.0000  4 Li 2.49
7 Co 0.0000 0.0000 0.5000  4 Li 2.49, 4 Co 2.49
8 Co 0.5000 0.5000 0.5000  4 Li 2.49, 4 Co 2.49

=====

Record 3
The following is a GGA-PBEsol calculation of an optimized crystal structure of La2MgAg, from Alexandria via LeMat-Bulk.

energy of formation from the pure elements: -38 kJ/mol of formula units

Cell: 4.9124 3.5256 12.7228 Å, 90.00 90.00 90.00°
Last column: nearest neighbours and their distance in Å.
Sites, in units of the cell vectors:
1 La 0.0000 0.0000 0.0000  4 Ag 3.28, 3 Mg 3.33-3.54, 2 La 3.53
2 La 0.0000 0.5000 0.5000  4 Ag 3.28, 3 Mg 3.33-3.54, 2 La 3.53
3 La 0.5000 0.0000 0.3275  4 Mg 3.31, 3 Ag 3.39-3.47, 2 La 3.53
4 La 0.5000 0.5000 0.8275  4 Mg 3.31, 3 Ag 3.39-3.47, 2 La 3.53
5 Mg 0.0000 0.0000 0.7220  2 Ag 2.90
6 Mg 0.0000 0.5000 0.2220  2 Ag 2.90
7 Ag 0.5000 0.0000 0.6001  2 Mg 2.90
8 Ag 0.5000 0.5000 0.1001  2 Mg 2.90

=====

Record 4
The following is a GGA-PBEsol calculation of an optimized crystal structure of K2HfF6, from Alexandria via LeMat-Bulk.

formation energy without anion corrections: -3436 meV/atom

Cell: 6.1514 6.1514 8.9393 Å, 90.00 90.00 90.00°
Last column: nearest neighbours and their distance in Å.
Sites, in units of the cell vectors:
1 K 0.0000 0.5000 0.2500  4 F 2.67
2 K 0.0000 0.5000 0.7500  4 F 2.67
3 K 0.5000 0.0000 0.2500  4 F 2.67
4 K 0.5000 0.0000 0.7500  4 F 2.67
5 Hf 0.0000 0.0000 0.0000  6 F 1.99
6 Hf 0.5000 0.5000 0.5000  6 F 1.99
7 F 0.0000 0.0000 0.2223  1 Hf 1.99
8 F 0.0000 0.0000 0.7777  1 Hf 1.99
9 F 0.1271 0.2976 0.0000  1 Hf 1.99
10 F 0.2024 0.3729 0.5000  1 Hf 1.99
11 F 0.2976 0.8729 0.0000  1 Hf 1.99
12 F 0.3729 0.7976 0.5000  1 Hf 1.99
13 F 0.5000 0.5000 0.2777  1 Hf 1.99
14 F 0.5000 0.5000 0.7223  1 Hf 1.99
15 F 0.6271 0.2024 0.5000  1 Hf 1.99
16 F 0.7024 0.1271 0.0000  1 Hf 1.99
17 F 0.7976 0.6271 0.5000  1 Hf 1.99
18 F 0.8729 0.7024 0.0000  1 Hf 1.99

=====

Record 5
The following is a GGA-PBEsol calculation of an optimized crystal structure of CoI2NO, from Alexandria via LeMat-Bulk.

formation energy without anion corrections: 737 meV/atom

Cell: 5.2284 5.2284 3.3553 Å, 90.00 90.00 90.00°
Last column: nearest neighbours and their distance in Å.
Sites, in units of the cell vectors:
1 Co 0.0000 0.0000 0.0000  2 N 1.68
2 I 0.0000 0.5000 0.0000  2 Co 2.61
3 I 0.5000 0.0000 0.0000  2 Co 2.61
4 N 0.0000 0.0000 0.5000  2 Co 1.68
5 O 0.5000 0.5000 0.5000  8 I 3.11, 2 O 3.36

=====

Record 6
The following is a GGA-PBEsol calculation of an optimized crystal structure of La2AgPb2, from Alexandria via LeMat-Bulk.

energy of formation from the pure elements: -220 kJ/mol of formula units

Cell: 7.7376 7.7376 4.8351 Å, 90.00 90.00 90.00°
Last column: nearest neighbours and their distance in Å.
Sites, in units of the cell vectors:
1 La 0.1700 0.3300 0.0000  6 Pb 3.20-3.41
2 La 0.3300 0.8300 0.0000  6 Pb 3.20-3.41
3 La 0.6700 0.1700 0.0000  6 Pb 3.20-3.41
4 La 0.8300 0.6700 0.0000  6 Pb 3.20-3.41
5 Ag 0.0000 0.0000 0.5000  4 Pb 2.99
6 Ag 0.5000 0.5000 0.5000  4 Pb 2.99
7 Pb 0.1386 0.6386 0.5000  2 Ag 2.99, 1 Pb 3.03, 2 La 3.20
8 Pb 0.3614 0.1386 0.5000  2 Ag 2.99, 1 Pb 3.03, 2 La 3.20
9 Pb 0.6386 0.8614 0.5000  2 Ag 2.99, 1 Pb 3.03, 2 La 3.20
10 Pb 0.8614 0.3614 0.5000  2 Ag 2.99, 1 Pb 3.03, 2 La 3.20

=====

no.,magnetization (μB/cell)
1,0.0
2,2.5
3,0.0
4,0.4
5,2.0
6,0.0